No. 1
Here is a geometry-optimized NaAlB structure from Alexandria. Energies are from PBE.

```
NaAlB
1.0
3.093 0.000 0.000
-1.546 2.678 0.000
0.000 0.000 11.663
B Al Na
2 2 2
direct
0.000 0.000 0.229
0.667 0.333 0.229
0.667 0.333 0.916
0.333 0.667 0.106
0.333 0.667 0.410
0.000 0.000 0.687
```

## Properties
- Spin magnetization: 0.0 μB per formula unit
- Density of states at the Fermi level: 0.07 states/eV per atom
- Energy: -3.83 eV/atom
- DFT formation energy: 0.082 eV per atom

=====

No. 2
Here is a geometry-optimized ZnCu6Pd5 structure from Alexandria. Energies are from PBE.

```
ZnCu6Pd5
1.0
-1.033 2.774 -2.549
5.659 -1.726 -4.171
-5.587 -4.358 0.506
Pd Cu Zn
5 6 1
direct
0.344 0.844 0.688
0.656 0.156 0.312
0.329 0.329 0.658
0.671 0.671 0.342
0.000 0.500 0.000
0.832 0.580 0.665
0.168 0.914 0.335
0.500 0.258 0.000
0.832 0.086 0.665
0.168 0.420 0.335
0.500 0.742 0.000
0.000 0.000 0.000
```

## Properties
- Spin magnetization: 0.0 μB per formula unit
- Density of states at the Fermi level: 0.49 states/eV per atom
- Energy: -4.48 eV/atom
- DFT formation energy: -0.164 eV per atom

=====

No. 3
Here is a geometry-optimized Ni2MoHRh structure from Alexandria. Energies are from PBE.

```
Ni2MoHRh
1.0
-0.567 2.216 2.998
1.449 -2.663 2.242
3.476 1.507 -0.456
Rh H Ni Mo
1 1 2 1
direct
0.000 0.000 0.500
0.000 0.000 0.000
0.000 0.500 0.000
0.500 0.000 0.000
0.500 0.500 0.500
```

## Properties
- Spin magnetization: 1.6 μB per formula unit
- Energy relative to the lowest polymorph listed for this composition: 0.0487 eV per atom
- Density of states at the Fermi level: 0.90 states/eV per atom
- Energy: -6.56 eV/atom

=====

The lowest energy belongs to which entry? Ni2MoHRh

=====

Which of these has the highest spin magnetization? Ni2MoHRh